1.
HoNpSeO2, optimized geometry, DFT PBE; space group = I4mm, No. 107; ρ = 9.60 g/cm³; DOS at the Fermi energy = 9.119 states/eV per cell; energy relative to the elements, uncorrected = -61.35 kcal/mol of atoms
1.0
-1.9091 1.9091 6.0884
1.9091 -1.9091 6.0884
1.9091 1.9091 -6.0884
Ho Np Se O
1 1 1 2
Cartesian
0.0000 0.0000 0.0000
0.0000 0.0000 3.6565
0.0000 0.0000 7.9684
1.9091 0.0000 4.9551
0.0000 1.9091 4.9551

---

2.
ErMn17Os, optimized geometry, DFT PBE; space group = R3m, No. 160; energy of formation from the pure elements = 116 meV/atom; ρ = 9.41 g/cm³; DOS at the Fermi energy = 25.204 states/eV per cell
1.0
4.0313 2.3275 4.0485
-4.0313 2.3275 4.0485
0.0000 -4.6550 4.0485
Er Mn Os
1 17 1
Cartesian
0.0000 0.0000 0.0000
0.0000 -2.2223 2.0319
-1.9246 1.1112 2.0319
-2.0742 -1.1975 6.0515
0.0000 -2.1701 5.6929
-1.8794 1.0851 5.6929
-1.1220 -2.1709 7.9536
-2.4411 0.1138 7.9536
1.9246 1.1112 2.0319
0.0000 0.0000 6.8613
1.1220 -2.1709 7.9536
-1.3191 2.0572 7.9536
2.0742 -1.1975 6.0515
0.0000 2.3951 6.0515
0.0000 0.0000 9.1005
1.8794 1.0851 5.6929
2.4411 0.1138 7.9536
1.3191 2.0572 7.9536
0.0000 0.0000 3.8641